# 1
YFeAs2 | PBEsol | optimized geometry

Results
As for the space group: No. 225. The offset from the most stable computed form is 167 meV per atom. The total magnetic moment comes out at 1.8 μB per formula unit. For the calculated density, the calculation gives 6.99 g/cm³.

```
YFeAs2
1.0
4.6261 0.0000 0.0000
2.3131 4.0064 0.0000
2.3131 1.3355 3.7772
As Fe Y
2 1 1
direct
0.2500 0.2500 0.2500 As
0.7500 0.7500 0.7500 As
0.5000 0.5000 0.5000 Fe
0.0000 0.0000 0.0000 Y
```

# 2
YFe4As | PBEsol | optimized geometry

Results
As for the space group: No. 216. The total magnetic moment comes out at 7.4 μB per formula unit. For the calculated density, the calculation gives 7.84 g/cm³.

```
YFe4As
1.0
4.8773 0.0000 0.0000
2.4386 4.2239 0.0000
2.4386 1.4080 3.9823
As Fe Y
1 4 1
direct
0.0000 0.0000 0.0000 As
0.3744 0.3744 0.3744 Fe
0.3744 0.3744 0.8768 Fe
0.8768 0.3744 0.3744 Fe
0.3744 0.8768 0.3744 Fe
0.7500 0.7500 0.7500 Y
```

# 3
Y2FeAs | PBEsol | optimized geometry

Results
As for the space group: No. 99. The total magnetic moment comes out at 1.4 μB per formula unit. For the calculated density, the calculation gives 5.63 g/cm³.

```
Y2FeAs
1.0
-2.7515 -2.1825 -1.9151
1.9303 0.5961 -3.4525
3.0864 -4.6941 0.9152
As Fe Y
1 1 2
direct
0.0000 0.0000 0.4068 As
0.5000 0.5000 0.8505 Fe
0.0000 0.0000 0.9058 Y
0.5000 0.5000 0.3369 Y
```

# 4
YFeAs2 | PBEsol | optimized geometry

Results
As for the space group: No. 44. The offset from the most stable computed form is 0 meV per atom. The total magnetic moment comes out at 0.8 μB per formula unit. For the calculated density, the calculation gives 6.87 g/cm³.

```
YFeAs2
1.0
-1.6868 2.1387 -1.5650
-3.0152 -1.1091 1.7343
3.4196 3.6248 4.4205
As Fe Y
2 1 1
direct
0.0246 0.0246 0.0493 As
0.8174 0.3174 0.6349 As
0.4587 0.4587 0.9174 Fe
0.1992 0.6992 0.3984 Y
```

# 5
YFe2As | PBEsol | optimized geometry

Results
As for the space group: No. 123. The total magnetic moment comes out at 3.9 μB per formula unit. For the calculated density, the calculation gives 7.17 g/cm³.

```
YFe2As
1.0
3.2946 0.0000 0.0000
0.0000 3.2946 0.0000
0.0000 0.0000 5.8787
As Fe Y
1 2 1
direct
0.5000 0.5000 0.5000 As
0.0000 0.0000 0.6945 Fe
0.0000 0.0000 0.3055 Fe
0.5000 0.5000 0.0000 Y
```

# 6
YFe2As | PBEsol | optimized geometry

Results
As for the space group: No. 119. The total magnetic moment comes out at 4.4 μB per formula unit. For the calculated density, the calculation gives 7.26 g/cm³.

```
YFe2As
1.0
4.0802 0.0000 0.0000
0.0000 4.0802 0.0000
-2.0401 -2.0401 3.7855
As Fe Y
1 2 1
direct
0.2500 0.7500 0.5000 As
0.0000 0.0000 0.0000 Fe
0.7500 0.2500 0.5000 Fe
0.5000 0.5000 0.0000 Y
```

Number 1: ΔH_f (0 K) -0.322 eV per atom, raw total energy -27.29 eV for the cell shown. Number 2: ΔH_f (0 K) -0.007 eV per atom, raw total energy -47.82 eV for the cell shown. Number 3: ΔH_f (0 K) -0.307 eV per atom, raw total energy -28.94 eV for the cell shown. Number 4: ΔH_f (0 K) -0.489 eV per atom, raw total energy -27.95 eV for the cell shown. Number 5: ΔH_f (0 K) -0.019 eV per atom, raw total energy -29.93 eV for the cell shown. Number 6: ΔH_f (0 K) -0.008 eV per atom, raw total energy -29.89 eV for the cell shown.